The following is a GGA-PBE calculation of a relaxed NdGdPdAu crystal, from Alexandria.

Final energy = -7.612 eV/atom
Fermi-level density of states = 0.777 states/eV/atom

POSCAR file:
```
NdGdPdAu
1.0
5.137 0.000 0.000
2.569 4.449 0.000
2.569 1.483 4.195
Gd Nd Au Pd
1 1 1 1
Direct
0.750 0.750 0.750
0.250 0.250 0.250
0.000 0.000 0.000
0.500 0.500 0.500
```